No. 1
The following is a PBE-GGA calculation of a relaxed LaZrBeSi2 crystal, from the Alexandria database.

It has space group P4/mmm (No. 123), with a = 5.0816 Å, b = 5.0816 Å, c = 5.6036 Å, α = 90.00°, β = 90.00° and γ = 90.00°. Symmetry generates all atoms from La at (0.0000, 0.0000, 0.0000), Zr at (0.0000, 0.0000, 0.5000), Be at (0.5000, 0.5000, 0.0000) and Si at (0.0000, 0.5000, 0.5000).

The calculation puts the energy relative to the elements, uncorrected at 0.96 eV per atom.

No. 2
The following is a PBE-GGA calculation of a relaxed La2SmBe crystal, from the Alexandria database.

It has space group P4/mmm (No. 123), with a = 3.6712 Å, b = 3.6712 Å, c = 8.7236 Å, α = 90.00°, β = 90.00° and γ = 90.00°. Symmetry generates all atoms from La at (0.0000, 0.0000, 0.1930), Sm at (0.5000, 0.5000, 0.5000) and Be at (0.5000, 0.5000, 0.0000).

The calculation puts the formation energy from the elements at 0.5 eV per formula unit.

No. 3
The following is a PBE-GGA calculation of a relaxed LaSmBeZn crystal, from the Alexandria database.

It has space group F-43m (No. 216), with a = 7.2478 Å, b = 7.2478 Å, c = 7.2478 Å, α = 90.00°, β = 90.00° and γ = 90.00°. Symmetry generates all atoms from La at (0.0000, 0.0000, 0.0000), Sm at (0.0000, 0.0000, 0.5000), Be at (0.2500, 0.2500, 0.2500) and Zn at (0.2500, 0.2500, 0.7500).

The calculation puts the formation energy from the elements at -0.2 eV per formula unit.

No. 4
The following is a PBE-GGA calculation of a relaxed La2Be2Sn crystal, from the Alexandria database.

It has space group P4/mbm (No. 127), with a = 6.9959 Å, b = 6.9959 Å, c = 4.6708 Å, α = 90.00°, β = 90.00° and γ = 90.00°. Symmetry generates all atoms from La at (0.1753, 0.3247, 0.0000), Be at (0.1125, 0.6125, 0.5000) and Sn at (0.0000, 0.0000, 0.5000).

The calculation puts the formation energy from the elements at -1.0 eV per formula unit.

No. 5
The following is a PBE-GGA calculation of a relaxed LaBe3Sn crystal, from the Alexandria database.

It has space group Pm-3m (No. 221), with a = 4.6508 Å, b = 4.6508 Å, c = 4.6508 Å, α = 90.00°, β = 90.00° and γ = 90.00°. Symmetry generates all atoms from La at (0.0000, 0.0000, 0.0000), Be at (0.0000, 0.5000, 0.5000) and Sn at (0.5000, 0.5000, 0.5000).

As for the relative energy among the computed polymorphs: 0 meV per atom. The calculation puts the formation energy from the elements at 3.4 eV per formula unit.

No. 6
The following is a PBE-GGA calculation of a relaxed LaBe2Sn2 crystal, from the Alexandria database.

It has space group I4/mmm (No. 139), with a = 4.3320 Å, b = 4.3320 Å, c = 11.1362 Å, α = 90.00°, β = 90.00° and γ = 90.00°. Symmetry generates all atoms from La at (0.0000, 0.0000, 0.0000), Be at (0.0000, 0.5000, 0.2500) and Sn at (0.0000, 0.0000, 0.3660).

The calculation puts the formation energy from the elements at -0.8 eV per formula unit.

Number 1: raw total energy -23.26 eV per cell. Number 2: raw total energy -17.79 eV per cell. Number 3: raw total energy -59.20 eV per cell. Number 4: raw total energy -44.54 eV per cell. Number 5: raw total energy -16.75 eV per cell. Number 6: raw total energy -42.47 eV per cell.